# 1
LiAlSi PBE relaxed; total magnetic moment = 0.00 Bohr magnetons per cell; final energy = -22.08 eV per cell
1.0
-3.803 1.598 0.827
2.096 -2.095 2.986
2.449 4.929 1.739
Si Al Li
2 2 2
direct
0.333 0.667 0.250
0.667 0.333 0.750
0.000 0.000 0.000
0.000 0.000 0.500
0.667 0.333 0.250
0.333 0.667 0.750

***

# 2
LiAlSi PBE relaxed; total magnetic moment = 0.00 Bohr magnetons per cell; final energy = -16.88 eV per cell
1.0
4.266 -2.463 0.000
0.000 4.926 0.000
0.000 0.000 8.958
Si Al Li
2 2 2
direct
0.000 0.000 0.000
0.000 0.000 0.500
0.000 0.000 0.250
0.000 0.000 0.750
0.333 0.667 0.250
0.667 0.333 0.750

***

# 3
LiAlSi PBE relaxed; total magnetic moment = 0.00 Bohr magnetons per cell; final energy = -11.17 eV per cell
1.0
6.453 -0.003 0.003
5.761 2.700 -0.036
0.692 -0.214 2.695
Al Li Si
1 1 1
direct
0.993 0.993 0.007
0.672 0.672 0.328
0.335 0.335 0.665

***

# 4
LiAlSi2 PBE relaxed; total magnetic moment = 0.00 Bohr magnetons per cell; final energy = -16.05 eV per cell
1.0
-6.014 4.461 3.232
-7.556 1.944 2.373
-6.073 1.995 5.065
Al Li Si
1 1 2
direct
0.250 0.250 0.250
0.750 0.750 0.750
0.996 0.996 0.996
0.504 0.504 0.504

***

# 5
LiAlSi PBE relaxed; total magnetic moment = 0.00 Bohr magnetons per cell; final energy = -43.52 eV per cell
1.0
4.957 0.000 0.000
0.000 4.957 0.000
0.000 0.000 7.400
Si Al Li
4 4 4
direct
0.500 0.733 0.000
0.500 0.267 0.500
0.267 0.500 0.250
0.733 0.500 0.750
0.755 0.755 0.375
0.245 0.245 0.875
0.245 0.755 0.625
0.755 0.245 0.125
0.000 0.749 0.000
0.000 0.251 0.500
0.251 0.000 0.250
0.749 0.000 0.750

***

# 6
LiAlSi PBE relaxed; total magnetic moment = 0.00 Bohr magnetons per cell; final energy = -23.06 eV per cell
1.0
-0.707 -3.894 0.616
1.618 -0.857 -3.563
5.967 -0.630 2.861
Si Al Li
2 2 2
direct
0.000 0.500 0.738
0.500 0.000 0.262
0.000 0.000 0.500
0.500 0.500 0.500
0.000 0.500 0.139
0.500 0.000 0.861

***

# 7
LiAlSi PBE relaxed; total magnetic moment = 0.00 Bohr magnetons per cell; final energy = -22.31 eV per cell
1.0
-4.319 -1.710 -2.493
1.443 -3.970 2.263
-0.236 -0.109 4.512
Si Al Li
2 2 2
direct
0.157 0.279 0.167
0.655 0.783 0.414
0.656 0.444 0.083
0.156 0.938 0.836
0.155 0.612 0.500
0.657 0.117 0.748

***

# 8
LiAl2Si PBE relaxed; total magnetic moment = 0.00 Bohr magnetons per cell; final energy = -14.63 eV per cell
1.0
-1.073 0.580 -2.579
-2.488 -0.065 1.393
0.634 7.846 1.500
Al Li Si
2 1 1
direct
0.000 0.000 0.986
0.000 0.000 0.514
0.500 0.500 0.250
0.500 0.500 0.750

***

# 9
LiAlSi2 PBE relaxed; total magnetic moment = 0.00 Bohr magnetons per cell; final energy = -16.20 eV per cell
1.0
2.743 0.000 0.000
0.000 2.743 0.000
0.000 0.000 7.947
Al Li Si
1 1 2
direct
0.500 0.500 0.250
0.500 0.500 0.750
0.000 0.000 0.005
0.000 0.000 0.495

***

# 10
LiAlSi2 PBE relaxed; total magnetic moment = 0.00 Bohr magnetons per cell; final energy = -16.34 eV per cell
1.0
4.824 0.014 0.020
1.792 4.478 -0.020
-3.281 -2.286 2.698
Al Li Si
1 1 2
direct
0.750 0.250 0.500
0.250 0.750 0.500
0.001 0.001 0.000
0.499 0.499 0.000

***

# 11
LiAlSi PBE relaxed; total magnetic moment = 0.00 Bohr magnetons per cell; final energy = -22.61 eV per cell
1.0
1.875 -6.466 0.000
1.875 6.466 0.000
0.000 0.000 4.173
Si Al Li
2 2 2
direct
0.878 0.122 0.250
0.122 0.878 0.750
0.242 0.758 0.250
0.758 0.242 0.750
0.570 0.430 0.250
0.430 0.570 0.750

***

# 12
LiAlSi PBE relaxed; total magnetic moment = 0.00 Bohr magnetons per cell; final energy = -23.19 eV per cell
1.0
2.403 0.000 7.183
-1.202 2.081 7.183
-1.202 -2.081 7.183
Si Al Li
2 2 2
direct
0.755 0.755 0.755
0.245 0.245 0.245
0.125 0.125 0.125
0.875 0.875 0.875
0.628 0.628 0.628
0.372 0.372 0.372